Record 1
VASP calculation (meta-GGA SCAN) on a PBEsol-optimized structure of LaAl2Fe.

The structure in POSCAR format:
```
LaAl2Fe
1.0
-2.4385 1.5873 -0.5517
0.7527 -0.5091 -4.7918
-1.9601 -4.8396 2.6883
Al Fe La
2 1 1
direct
0.7947 0.7947 0.5894
0.2053 0.2053 0.4106
0.5000 0.0000 0.0000
0.0000 0.5000 0.0000
```

**E**: -19.15 eV/atom
**Energy of formation from the pure elements**: 0.030 eV/atom



Record 2
VASP calculation (meta-GGA SCAN) on a PBEsol-optimized structure of La2AlFe.

The structure in POSCAR format:
```
La2AlFe
1.0
-0.1322 3.2459 -1.2881
-4.1621 0.8047 2.4549
4.9277 -0.2696 3.5553
La Al Fe
2 1 1
direct
0.0434 0.0434 0.0867
0.2371 0.7371 0.4742
0.4408 0.4408 0.8815
0.7788 0.2788 0.5575
```

**E**: -28.09 eV/atom
**Energy of formation from the pure elements**: -0.070 eV/atom



Record 3
VASP calculation (meta-GGA SCAN) on a PBEsol-optimized structure of LaAlFe.

The structure in POSCAR format:
```
LaAlFe
1.0
-0.9002 -3.2547 -3.1926
-2.9411 -3.4628 0.9773
-4.1686 -0.1557 -2.0481
Al Fe La
1 1 1
direct
0.2500 0.2500 0.2500
0.0000 0.0000 0.0000
0.5000 0.5000 0.5000
```

**E**: -22.58 eV/atom
**Energy of formation from the pure elements**: 0.417 eV/atom



Record 4
VASP calculation (meta-GGA SCAN) on a PBEsol-optimized structure of La2AlFe.

The structure in POSCAR format:
```
La2AlFe
1.0
4.4575 0.0000 0.0000
0.0000 4.4575 0.0000
-2.2287 -2.2287 4.5684
Al Fe La
1 1 2
direct
0.5000 0.5000 0.0000
0.2500 0.7500 0.5000
0.0000 0.0000 0.0000
0.7500 0.2500 0.5000
```

**E**: -27.94 eV/atom
**Energy of formation from the pure elements**: 0.086 eV/atom



Record 5
VASP calculation (meta-GGA SCAN) on a PBEsol-optimized structure of LaAl10Fe2.

The structure in POSCAR format:
```
LaAl10Fe2
1.0
-5.3650 3.0055 -2.8125
-2.7141 -6.1584 0.6584
-3.0392 2.2120 8.1613
La Al Fe
2 20 4
direct
0.8788 0.1212 0.7500
0.1212 0.8788 0.2500
0.6237 0.3763 0.5524
0.3763 0.6237 0.4476
0.3763 0.6237 0.0524
0.6237 0.3763 0.9476
0.2290 0.2290 0.5000
0.7710 0.7710 0.5000
0.7710 0.7710 0.0000
0.2290 0.2290 0.0000
0.8361 0.1639 0.0983
0.1639 0.8361 0.9017
0.1639 0.8361 0.5983
0.8361 0.1639 0.4017
0.8695 0.5882 0.7500
0.1305 0.4118 0.2500
0.4118 0.1305 0.7500
0.5882 0.8695 0.2500
0.2223 0.4785 0.7500
0.7777 0.5215 0.2500
0.5215 0.7777 0.7500
0.4785 0.2223 0.2500
0.0000 0.5000 0.5000
0.0000 0.5000 0.0000
0.5000 0.0000 0.0000
0.5000 0.0000 0.5000
```

**E**: -12.40 eV/atom
**Energy of formation from the pure elements**: -0.328 eV/atom



Record 6
VASP calculation (meta-GGA SCAN) on a PBEsol-optimized structure of LaAlFe.

The structure in POSCAR format:
```
LaAlFe
1.0
3.0989 0.0000 0.0000
0.0000 3.0989 0.0000
-1.5494 -1.5494 5.7321
Al Fe La
1 1 1
direct
0.0445 0.0445 0.0890
0.6424 0.6424 0.2848
0.3131 0.3131 0.6262
```

**E**: -22.96 eV/atom
**Energy of formation from the pure elements**: 0.033 eV/atom